Crystalline Tl5InHg6 at its relaxed geometry. Source: Alexandria, functional PBE-GGA.

## Properties
Energy of formation from the pure elements   -1.2 kJ/mol of atoms
N(E_F)   4.18 states/eV per cell
Spin magnetization   0.000 μB/atom
Volume   348 Å³ per cell
Total DFT energy (no corrections)   -1.38 eV/atom

Cell: 9.036 9.036 5.907 Å, 105.29 105.29 121.19°
Element x y z (fractional)
Tl (0.000, 0.000, 0.000)
Tl (0.163, 0.837, 0.500)
Tl (0.326, 0.674, 0.000)
Tl (0.674, 0.326, 0.000)
Tl (0.837, 0.163, 0.500)
In (0.500, 0.500, 0.500)
Hg (0.097, 0.423, 0.264)
Hg (0.263, 0.263, 0.759)
Hg (0.423, 0.097, 0.264)
Hg (0.577, 0.903, 0.736)
Hg (0.737, 0.737, 0.241)
Hg (0.903, 0.577, 0.736)